[1]
A plane-wave DFT calculation with PBE-GGA was carried out for a relaxed structure of Li3ZnO4.

The structure in POSCAR format:
```
Li3ZnO4
1.0
2.741 0.000 0.000
0.000 10.539 0.000
-0.013 0.000 5.413
Li Zn O
6 2 8
direct
0.000 0.115 0.000
0.000 0.131 0.500
0.000 0.372 0.500
0.000 0.628 0.500
0.000 0.869 0.500
0.000 0.885 0.000
0.000 0.358 0.000
0.000 0.642 0.000
0.500 0.068 0.251
0.500 0.068 0.749
0.500 0.339 0.251
0.500 0.339 0.749
0.500 0.661 0.251
0.500 0.661 0.749
0.500 0.932 0.251
0.500 0.932 0.749
```

=====

[2]
A plane-wave DFT calculation with PBE-GGA was carried out for a relaxed structure of Li3ZnO4.

The structure in POSCAR format:
```
Li3ZnO4
1.0
4.967 0.000 0.000
0.000 11.559 0.000
-1.690 0.000 4.726
Li Zn O
12 4 16
direct
0.000 0.000 0.000
0.000 0.120 0.500
0.000 0.242 0.000
0.000 0.374 0.500
0.000 0.505 0.000
0.000 0.629 0.500
0.000 0.753 0.000
0.000 0.879 0.500
0.500 0.120 0.000
0.500 0.628 0.000
0.500 0.878 0.000
0.500 0.999 0.500
0.500 0.243 0.500
0.500 0.374 0.000
0.500 0.504 0.500
0.500 0.755 0.500
0.242 0.000 0.758
0.249 0.125 0.258
0.252 0.873 0.251
0.253 0.628 0.259
0.257 0.374 0.253
0.259 0.496 0.751
0.262 0.753 0.737
0.263 0.252 0.750
0.737 0.252 0.250
0.738 0.753 0.263
0.741 0.496 0.249
0.743 0.374 0.747
0.747 0.628 0.741
0.748 0.873 0.749
0.751 0.125 0.742
0.758 0.000 0.242
```

=====

[3]
A plane-wave DFT calculation with PBE-GGA was carried out for a relaxed structure of LiZrO4.

The structure in POSCAR format:
```
LiZrO4
1.0
3.105 0.000 0.000
0.455 8.585 0.000
0.467 0.733 9.110
Li Zr O
4 4 16
direct
0.188 0.284 0.079
0.225 0.213 0.474
0.775 0.787 0.526
0.812 0.716 0.921
0.256 0.030 0.754
0.278 0.542 0.331
0.722 0.458 0.669
0.744 0.970 0.246
0.217 0.138 0.277
0.223 0.603 0.557
0.229 0.561 0.824
0.238 0.293 0.690
0.238 0.913 0.403
0.271 0.882 0.102
0.284 0.849 0.954
0.411 0.438 0.915
0.589 0.562 0.085
0.716 0.151 0.046
0.729 0.118 0.898
0.762 0.087 0.597
0.762 0.707 0.310
0.771 0.439 0.176
0.777 0.397 0.443
0.783 0.862 0.723
```

## Properties
Total magnetic moment: 0.08 μB per atom

=====

[4]
A plane-wave DFT calculation with PBE-GGA was carried out for a relaxed structure of Li6Zr4O11.

The structure in POSCAR format:
```
Li6Zr4O11
1.0
5.314 0.000 0.000
1.168 5.285 0.000
2.061 0.887 9.230
Li Zr O
6 4 11
direct
0.000 0.000 0.000
0.011 0.454 0.093
0.332 0.323 0.746
0.571 0.913 0.559
0.698 0.487 0.395
0.814 0.985 0.288
0.243 0.198 0.350
0.389 0.710 0.186
0.659 0.656 0.867
0.884 0.225 0.659
0.052 0.565 0.289
0.146 0.073 0.167
0.271 0.218 0.568
0.308 0.632 0.981
0.492 0.838 0.359
0.574 0.345 0.247
0.625 0.006 0.762
0.625 0.550 0.657
0.746 0.768 0.043
0.868 0.117 0.464
0.960 0.327 0.855
```

## Properties
Total magnetic moment: 0.00 μB per atom

=====

[5]
A plane-wave DFT calculation with PBE-GGA was carried out for a relaxed structure of Li6Zr4O11.

The structure in POSCAR format:
```
Li6Zr4O11
1.0
5.297 0.000 0.000
1.468 5.143 0.000
2.224 1.748 9.282
Li Zr O
6 4 11
direct
0.000 0.000 0.000
0.063 0.415 0.825
0.257 0.992 0.654
0.420 0.036 0.300
0.538 0.433 0.429
0.860 0.342 0.139
0.137 0.674 0.254
0.457 0.640 0.928
0.651 0.175 0.756
0.853 0.722 0.566
0.088 0.617 0.052
0.156 0.034 0.166
0.201 0.771 0.453
0.307 0.044 0.861
0.412 0.574 0.742
0.488 0.406 0.241
0.594 0.097 0.565
0.728 0.282 0.944
0.768 0.671 0.380
0.829 0.776 0.792
0.977 0.324 0.646
```

## Properties
Total magnetic moment: 0.00 μB per atom

=====

[6]
A plane-wave DFT calculation with PBE-GGA was carried out for a relaxed structure of LiZrO4.

The structure in POSCAR format:
```
LiZrO4
1.0
4.557 0.000 0.000
0.000 5.848 0.000
-0.171 0.000 5.138
Li Zr O
2 2 8
direct
0.000 0.185 0.250
0.000 0.815 0.750
0.500 0.317 0.750
0.500 0.683 0.250
0.172 0.103 0.608
0.172 0.897 0.108
0.295 0.382 0.111
0.295 0.618 0.611
0.705 0.382 0.389
0.705 0.618 0.889
0.828 0.103 0.892
0.828 0.897 0.392
```

## Properties
Total magnetic moment: 0.32 μB per atom

=====

[7]
A plane-wave DFT calculation with PBE-GGA was carried out for a relaxed structure of Li8ZrO6.

The structure in POSCAR format:
```
Li8ZrO6
1.0
2.732 1.577 5.147
-2.732 1.577 5.147
0.000 -3.154 5.147
Li Zr O
8 1 6
direct
0.007 0.394 0.733
0.158 0.158 0.158
0.267 0.993 0.606
0.394 0.733 0.007
0.606 0.267 0.993
0.733 0.007 0.394
0.842 0.842 0.842
0.993 0.606 0.267
0.500 0.500 0.500
0.109 0.737 0.409
0.263 0.591 0.891
0.409 0.109 0.737
0.591 0.891 0.263
0.737 0.409 0.109
0.891 0.263 0.591
```

## Properties
Total magnetic moment: 0.00 μB per atom

=====

[8]
A plane-wave DFT calculation with PBE-GGA was carried out for a relaxed structure of Li3Zr2O6.

The structure in POSCAR format:
```
Li3Zr2O6
1.0
2.761 -4.681 0.000
2.761 4.681 0.000
-1.969 0.000 4.780
Li Zr O
3 2 6
direct
0.000 0.000 0.000
0.500 0.500 0.500
0.859 0.141 0.500
0.320 0.680 0.000
0.657 0.343 0.000
0.073 0.407 0.220
0.271 0.293 0.752
0.429 0.098 0.231
0.593 0.927 0.780
0.707 0.729 0.248
0.902 0.571 0.769
```

## Properties
Total magnetic moment: 0.09 μB per atom

=====

[9]
A plane-wave DFT calculation with PBE-GGA was carried out for a relaxed structure of Li6Zr4O11.

The structure in POSCAR format:
```
Li6Zr4O11
1.0
5.365 0.000 0.000
1.062 5.302 0.000
2.046 -0.215 8.980
Li Zr O
6 4 11
direct
0.000 0.000 0.000
0.115 0.462 0.852
0.243 0.949 0.700
0.509 0.531 0.474
0.650 0.005 0.302
0.867 0.569 0.135
0.061 0.266 0.379
0.429 0.265 0.067
0.570 0.740 0.897
0.837 0.846 0.569
0.043 0.175 0.181
0.202 0.949 0.490
0.232 0.613 0.008
0.333 0.103 0.882
0.417 0.352 0.291
0.533 0.677 0.681
0.653 0.906 0.087
0.695 0.180 0.502
0.760 0.394 0.964
0.849 0.638 0.383
0.943 0.794 0.772
```

## Properties
Total magnetic moment: 0.00 μB per atom

=====

[10]
A plane-wave DFT calculation with PBE-GGA was carried out for a relaxed structure of Li3Zr2O6.

The structure in POSCAR format:
```
Li3Zr2O6
1.0
2.741 -4.687 0.000
2.741 4.687 0.000
-1.938 0.000 4.855
Li Zr O
3 2 6
direct
0.000 0.000 0.000
0.353 0.647 0.000
0.647 0.353 0.000
0.167 0.833 0.500
0.833 0.167 0.500
0.034 0.412 0.251
0.212 0.212 0.759
0.412 0.034 0.251
0.588 0.966 0.749
0.788 0.788 0.241
0.966 0.588 0.749
```

## Properties
Total magnetic moment: 0.09 μB per atom

=====

[11]
A plane-wave DFT calculation with PBE-GGA was carried out for a relaxed structure of Li3Zr2O6.

The structure in POSCAR format:
```
Li3Zr2O6
1.0
2.732 -4.730 0.000
2.732 4.730 0.000
-1.817 0.000 9.690
Li Zr O
6 4 12
direct
0.068 0.371 0.752
0.217 0.217 0.252
0.427 0.076 0.752
0.629 0.932 0.248
0.783 0.783 0.748
0.924 0.573 0.248
0.166 0.834 0.000
0.345 0.655 0.500
0.502 0.498 0.000
0.681 0.319 0.500
0.055 0.650 0.624
0.169 0.122 0.870
0.257 0.589 0.125
0.350 0.945 0.376
0.411 0.743 0.875
0.437 0.410 0.625
0.498 0.207 0.124
0.590 0.563 0.375
0.679 0.030 0.630
0.793 0.502 0.876
0.878 0.831 0.130
0.970 0.321 0.370
```

## Properties
Total magnetic moment: 0.09 μB per atom

=====

[12]
A plane-wave DFT calculation with PBE-GGA was carried out for a relaxed structure of Li8Zr4O11.

The structure in POSCAR format:
```
Li8Zr4O11
1.0
5.217 0.000 0.000
0.915 5.287 0.000
2.358 0.570 8.931
Li Zr O
8 4 11
direct
0.000 0.000 0.000
0.045 0.260 0.437
0.122 0.539 0.861
0.294 0.013 0.681
0.468 0.506 0.511
0.547 0.763 0.928
0.607 0.038 0.371
0.806 0.485 0.192
0.199 0.769 0.269
0.385 0.264 0.104
0.711 0.262 0.772
0.879 0.762 0.602
0.016 0.140 0.226
0.067 0.395 0.651
0.158 0.635 0.075
0.239 0.879 0.479
0.352 0.142 0.903
0.428 0.412 0.300
0.519 0.629 0.730
0.663 0.131 0.574
0.751 0.359 0.980
0.833 0.659 0.402
0.924 0.894 0.804
```

## Properties
Total magnetic moment: 0.00 μB per atom

=====

[13]
A plane-wave DFT calculation with PBE-GGA was carried out for a relaxed structure of Li8ZrO6.

The structure in POSCAR format:
```
Li8ZrO6
1.0
2.740 1.582 5.159
-2.740 1.582 5.159
0.000 -3.164 5.159
Li Zr O
8 1 6
direct
0.005 0.733 0.397
0.155 0.155 0.155
0.267 0.603 0.995
0.397 0.005 0.733
0.603 0.995 0.267
0.733 0.397 0.005
0.845 0.845 0.845
0.995 0.267 0.603
0.500 0.500 0.500
0.111 0.407 0.737
0.263 0.889 0.593
0.407 0.737 0.111
0.593 0.263 0.889
0.737 0.111 0.407
0.889 0.593 0.263
```

## Properties
Total magnetic moment: 0.00 μB per atom

=====

[14]
A plane-wave DFT calculation with PBE-GGA was carried out for a relaxed structure of LiZrO4.

The structure in POSCAR format:
```
LiZrO4
1.0
3.235 -3.359 0.000
3.235 3.359 0.000
-0.009 0.000 3.247
Li Zr O
1 1 4
direct
0.000 0.000 0.000
0.500 0.500 0.549
0.192 0.809 0.492
0.294 0.294 0.049
0.706 0.706 0.051
0.809 0.192 0.492
```

## Properties
Total magnetic moment: 0.50 μB per atom

=====

[15]
A plane-wave DFT calculation with PBE-GGA was carried out for a relaxed structure of Li8Zr4O11.

The structure in POSCAR format:
```
Li8Zr4O11
1.0
5.225 0.000 0.000
0.949 5.283 0.000
2.381 0.328 8.940
Li Zr O
8 4 11
direct
0.000 0.000 0.000
0.043 0.272 0.421
0.155 0.538 0.848
0.337 0.021 0.670
0.493 0.492 0.514
0.572 0.764 0.920
0.652 0.003 0.353
0.835 0.526 0.158
0.243 0.772 0.255
0.410 0.266 0.087
0.750 0.268 0.757
0.923 0.760 0.588
0.060 0.145 0.205
0.110 0.394 0.632
0.203 0.643 0.051
0.291 0.859 0.461
0.387 0.161 0.875
0.563 0.634 0.706
0.606 0.913 0.142
0.711 0.129 0.552
0.782 0.383 0.960
0.893 0.649 0.380
0.962 0.900 0.787
```

## Properties
Total magnetic moment: 0.00 μB per atom

=====

[16]
A plane-wave DFT calculation with PBE-GGA was carried out for a relaxed structure of LiZr2O4.

The structure in POSCAR format:
```
LiZr2O4
1.0
0.000 4.507 4.507
4.507 0.000 4.507
4.507 4.507 0.000
Li Zr O
2 4 8
direct
0.125 0.125 0.125
0.875 0.875 0.875
0.000 0.500 0.500
0.500 0.000 0.500
0.500 0.500 0.000
0.500 0.500 0.500
0.261 0.261 0.261
0.261 0.261 0.717
0.261 0.717 0.261
0.283 0.739 0.739
0.717 0.261 0.261
0.739 0.283 0.739
0.739 0.739 0.283
0.739 0.739 0.739
```

## Properties
Total magnetic moment: 0.00 μB per atom

=====

Number 1: final energy -4.527 eV/atom. Number 2: final energy -4.478 eV/atom. Number 3: final energy -6.936 eV/atom. Number 4: final energy -7.452 eV/atom. Number 5: final energy -7.368 eV/atom. Number 6: final energy -6.515 eV/atom. Number 7: final energy -5.750 eV/atom. Number 8: final energy -7.255 eV/atom. Number 9: final energy -7.414 eV/atom. Number 10: final energy -7.278 eV/atom. Number 11: final energy -7.279 eV/atom. Number 12: final energy -7.016 eV/atom. Number 13: final energy -5.751 eV/atom. Number 14: final energy -6.532 eV/atom. Number 15: final energy -7.013 eV/atom. Number 16: final energy -8.397 eV/atom.